1.
An optimized crystal structure of ZrH6NOF5, computed with PBE-GGA.

a = 9.264 Å, b = 7.388 Å, c = 6.672 Å
α = 90.00°, β = 67.11°, γ = 90.00°
Fractional positions:
F1 0.568 0.631 0.022
F2 0.153 0.203 0.106
F3 0.889 0.090 0.114
F4 0.133 0.677 0.163
F5 0.635 0.298 0.190
F6 0.866 0.794 0.304
F7 0.370 0.178 0.334
F8 0.611 0.592 0.384
F9 0.346 0.705 0.395
F10 0.929 0.126 0.477
F11 0.068 0.869 0.522
F12 0.653 0.297 0.606
F13 0.389 0.410 0.614
F14 0.633 0.823 0.663
F15 0.135 0.202 0.690
F16 0.366 0.706 0.803
F17 0.870 0.322 0.834
F18 0.111 0.908 0.884
F19 0.846 0.795 0.895
F20 0.429 0.374 0.977
H1 0.831 0.401 0.124
H2 0.665 0.860 0.142
H3 0.004 0.374 0.144
H4 0.345 0.045 0.202
H5 0.334 0.829 0.208
H6 0.607 0.068 0.247
H7 0.894 0.566 0.252
H8 0.166 0.328 0.295
H9 0.154 0.544 0.298
H10 0.496 0.877 0.355
H11 0.837 0.359 0.361
H12 0.667 0.905 0.382
H13 0.331 0.099 0.623
H14 0.164 0.640 0.642
H15 0.504 0.126 0.644
H16 0.845 0.455 0.702
H17 0.834 0.671 0.708
H18 0.107 0.432 0.748
H19 0.394 0.934 0.752
H20 0.666 0.172 0.795
H21 0.654 0.956 0.798
H22 0.996 0.623 0.856
H23 0.337 0.141 0.861
H24 0.168 0.595 0.881
N1 0.894 0.429 0.218
N2 0.607 0.931 0.284
N3 0.394 0.072 0.718
N4 0.107 0.569 0.784
O1 0.313 0.937 0.134
O2 0.186 0.437 0.367
O3 0.813 0.563 0.634
O4 0.686 0.063 0.867
Zr1 0.058 0.946 0.215
Zr2 0.442 0.448 0.283
Zr3 0.558 0.554 0.715
Zr4 0.942 0.052 0.783

Properties
Electronic total energy   -0.4083 Ry/atom
Space-group type   Pc
Total magnetization   0.000 μB per atom



2.
An optimized crystal structure of Dy2HoTl3AgPd2, computed with PBE-GGA.

a = 3.759 Å, b = 7.928 Å, c = 7.928 Å
α = 119.99°, β = 90.00°, γ = 90.00°
Fractional positions:
Ag1 0.000 0.000 0.000
Dy1 0.000 0.594 0.000
Dy2 0.000 0.000 0.594
Ho1 0.000 0.406 0.406
Pd1 0.500 0.666 0.334
Pd2 0.500 0.334 0.666
Tl1 0.500 0.274 0.000
Tl2 0.500 0.000 0.274
Tl3 0.500 0.726 0.726

Properties
Electronic total energy   -0.3183 Ry/atom
Space-group type   Amm2
Total magnetization   0.003 μB per atom



3.
An optimized crystal structure of Cd2SnS3, computed with PBE-GGA.

a = 6.896 Å, b = 6.896 Å, c = 10.631 Å
α = 90.00°, β = 90.00°, γ = 33.28°
Fractional positions:
Cd1 0.000 0.000 0.000
Cd2 0.488 0.488 0.250
Cd3 0.000 0.000 0.500
Cd4 0.512 0.512 0.750
S1 0.367 0.367 0.066
S2 0.109 0.109 0.250
S3 0.367 0.367 0.434
S4 0.633 0.633 0.566
S5 0.891 0.891 0.750
S6 0.633 0.633 0.934
Sn1 0.767 0.767 0.250
Sn2 0.233 0.233 0.750

Properties
Electronic total energy   -0.2481 Ry/atom
Space-group type   Cmcm



4.
An optimized crystal structure of CdGa2Te2S2, computed with PBE-GGA.

a = 6.884 Å, b = 6.884 Å, c = 5.874 Å
α = 113.51°, β = 113.51°, γ = 106.82°
Fractional positions:
Cd1 0.991 0.009 0.000
Ga1 0.489 0.511 0.000
Ga2 0.262 0.738 0.500
S1 0.152 0.422 0.033
S2 0.578 0.848 0.967
Te1 0.852 0.574 0.473
Te2 0.426 0.148 0.527

Properties
Electronic total energy   -0.2632 Ry/atom
Space-group type   C2



5.
An optimized crystal structure of NaCdBiPd, computed with PBE-GGA.

a = 4.943 Å, b = 4.943 Å, c = 4.943 Å
α = 60.00°, β = 60.00°, γ = 60.00°
Fractional positions:
Bi1 0.500 0.500 0.500
Cd1 0.000 0.000 0.000
Na1 0.750 0.750 0.750
Pd1 0.250 0.250 0.250

Properties
Distance to the lowest polymorph of the same formula   0 meV/atom
Space-group type   F-43m



6.
An optimized crystal structure of Rb2HfReO6, computed with PBE-GGA.

a = 5.695 Å, b = 5.695 Å, c = 5.695 Å
α = 60.00°, β = 60.00°, γ = 60.00°
Fractional positions:
Hf1 0.500 0.500 0.500
O1 0.240 0.760 0.240
O2 0.760 0.240 0.240
O3 0.760 0.760 0.240
O4 0.240 0.240 0.760
O5 0.760 0.240 0.760
O6 0.240 0.760 0.760
Rb1 0.250 0.250 0.250
Rb2 0.750 0.750 0.750
Re1 0.000 0.000 0.000

Properties
Electronic total energy   -0.5580 Ry/atom
Space-group type   Fm-3m
Total magnetization   0.000 μB per atom



7.
An optimized crystal structure of Tm2Si2O7, computed with PBE-GGA.

a = 5.579 Å, b = 5.579 Å, c = 4.702 Å
α = 97.20°, β = 97.20°, γ = 105.13°
Fractional positions:
O1 0.390 0.085 0.220
O2 0.085 0.390 0.220
O3 0.614 0.614 0.283
O4 0.000 0.000 0.500
O5 0.386 0.386 0.717
O6 0.915 0.610 0.780
O7 0.610 0.915 0.780
Si1 0.221 0.221 0.411
Si2 0.779 0.779 0.589
Tm1 0.694 0.306 0.000
Tm2 0.306 0.694 0.000

Properties
Electronic total energy   -0.6042 Ry/atom
Space-group type   C2/m
Total magnetization   0.000 μB per atom



8.
An optimized crystal structure of Tb3ReO7, computed with PBE-GGA.

a = 6.397 Å, b = 6.397 Å, c = 7.417 Å
α = 90.00°, β = 90.00°, γ = 69.66°
Fractional positions:
O1 0.069 0.676 0.035
O2 0.324 0.931 0.035
O3 0.937 0.063 0.250
O4 0.393 0.342 0.250
O5 0.658 0.607 0.250
O6 0.069 0.676 0.465
O7 0.324 0.931 0.465
O8 0.676 0.069 0.535
O9 0.931 0.324 0.535
O10 0.342 0.393 0.750
O11 0.607 0.658 0.750
O12 0.063 0.937 0.750
O13 0.676 0.069 0.965
O14 0.931 0.324 0.965
Re1 0.000 0.000 0.000
Re2 0.000 0.000 0.500
Tb1 0.500 0.500 0.000
Tb2 0.025 0.432 0.250
Tb3 0.568 0.975 0.250
Tb4 0.500 0.500 0.500
Tb5 0.432 0.025 0.750
Tb6 0.975 0.568 0.750

Properties
Electronic total energy   -0.6200 Ry/atom
Space-group type   Cmcm
Total magnetization   0.127 μB per atom



9.
An optimized crystal structure of NbSbPt2, computed with PBE-GGA.

a = 4.638 Å, b = 4.638 Å, c = 4.638 Å
α = 60.00°, β = 60.00°, γ = 60.00°
Fractional positions:
Nb1 0.250 0.250 0.250
Pt1 0.000 0.000 0.000
Pt2 0.750 0.750 0.750
Sb1 0.500 0.500 0.500

Properties
Electronic total energy   -0.5004 Ry/atom
Space-group type   F-43m
Total magnetization   0.003 μB per atom



10.
An optimized crystal structure of HoBr2, computed with PBE-GGA.

a = 3.818 Å, b = 3.818 Å, c = 13.768 Å
α = 90.00°, β = 90.00°, γ = 60.12°
Fractional positions:
Br1 0.499 0.499 0.132
Br2 0.833 0.833 0.368
Br3 0.501 0.501 0.632
Br4 0.167 0.167 0.868
Ho1 0.833 0.833 0.000
Ho2 0.167 0.167 0.500

Properties
Electronic total energy   -0.3085 Ry/atom
Space-group type   Cmc2_1
Total magnetization   0.001 μB per atom



11.
An optimized crystal structure of Cu2F, computed with PBE-GGA.

a = 3.765 Å, b = 3.765 Å, c = 3.765 Å
α = 60.00°, β = 60.00°, γ = 60.00°
Fractional positions:
Cu1 0.250 0.250 0.250
Cu2 0.750 0.750 0.750
F1 0.000 0.000 0.000

Properties
Electronic total energy   -0.2353 Ry/atom
Space-group type   Fm-3m



12.
An optimized crystal structure of PrMoPt, computed with PBE-GGA.

a = 4.735 Å, b = 4.735 Å, c = 4.735 Å
α = 60.00°, β = 60.00°, γ = 60.00°
Fractional positions:
Mo1 0.250 0.250 0.250
Pr1 0.750 0.750 0.750
Pt1 0.000 0.000 0.000

Properties
Formation energy   326 meV/atom
Distance to the lowest polymorph of the same formula   0 meV/atom
Space-group type   F-43m
Total magnetization   1.008 μB per atom



13.
An optimized crystal structure of Cd2TeO, computed with PBE-GGA.

a = 7.336 Å, b = 7.336 Å, c = 6.476 Å
α = 90.00°, β = 90.00°, γ = 148.51°
Fractional positions:
Cd1 0.544 0.456 0.355
Cd2 0.832 0.168 0.477
Cd3 0.456 0.544 0.855
Cd4 0.168 0.832 0.977
O1 0.587 0.413 0.031
O2 0.413 0.587 0.531
Te1 0.831 0.169 0.029
Te2 0.169 0.831 0.529

Properties
Distance to the lowest polymorph of the same formula   0 meV/atom
Space-group type   Cmc2_1



14.
An optimized crystal structure of HfTlAuSe3, computed with PBE-GGA.

a = 9.021 Å, b = 9.021 Å, c = 8.859 Å
α = 97.28°, β = 97.28°, γ = 24.54°
Fractional positions:
Au1 0.549 0.549 0.220
Au2 0.451 0.451 0.780
Hf1 0.163 0.163 0.095
Hf2 0.837 0.837 0.905
Se1 0.000 0.000 0.000
Se2 0.322 0.322 0.112
Se3 0.694 0.694 0.310
Se4 0.500 0.500 0.500
Se5 0.306 0.306 0.690
Se6 0.678 0.678 0.888
Tl1 0.873 0.873 0.414
Tl2 0.127 0.127 0.586

Properties
Distance to the lowest polymorph of the same formula   97 meV/atom
Space-group type   C2/m
Total magnetization   0.000 μB per atom



15.
An optimized crystal structure of PmCoCu, computed with PBE-GGA.

a = 4.390 Å, b = 4.390 Å, c = 4.390 Å
α = 60.00°, β = 60.00°, γ = 60.00°
Fractional positions:
Co1 0.250 0.250 0.250
Cu1 0.000 0.000 0.000
Pm1 0.750 0.750 0.750

Properties
Formation energy   312 meV/atom
Distance to the lowest polymorph of the same formula   0 meV/atom
Space-group type   F-43m
Total magnetization   0.188 μB per atom



16.
An optimized crystal structure of KRbFe2S4, computed with PBE-GGA.

a = 6.735 Å, b = 6.735 Å, c = 5.376 Å
α = 101.31°, β = 101.31°, γ = 116.30°
Fractional positions:
Fe1 0.997 0.003 0.000
Fe2 0.002 0.998 0.500
K1 0.355 0.645 0.000
Rb1 0.646 0.354 0.500
S1 0.914 0.708 0.154
S2 0.089 0.294 0.347
S3 0.706 0.911 0.653
S4 0.292 0.086 0.846

Properties
Electronic total energy   -0.3790 Ry/atom
Space-group type   C2
Total magnetization   0.635 μB per atom



17.
An optimized crystal structure of Y2ZnAgAs2O2, computed with PBE-GGA.

a = 3.944 Å, b = 3.944 Å, c = 9.147 Å
α = 90.00°, β = 90.00°, γ = 90.00°
Fractional positions:
Ag1 0.000 0.000 0.500
As1 0.500 0.000 0.308
As2 0.000 0.500 0.692
O1 0.000 0.000 0.000
O2 0.500 0.500 0.000
Y1 0.000 0.500 0.120
Y2 0.500 0.000 0.880
Zn1 0.500 0.500 0.500

Properties
Electronic total energy   -0.4587 Ry/atom
Space-group type   P-4m2
Total magnetization   0.001 μB per atom



18.
An optimized crystal structure of YMgCd2, computed with PBE-GGA.

a = 4.909 Å, b = 4.909 Å, c = 9.117 Å
α = 90.00°, β = 90.00°, γ = 120.00°
Fractional positions:
Cd1 0.667 0.333 0.091
Cd2 0.667 0.333 0.409
Cd3 0.333 0.667 0.591
Cd4 0.333 0.667 0.909
Mg1 0.000 0.000 0.000
Mg2 0.000 0.000 0.500
Y1 0.333 0.667 0.250
Y2 0.667 0.333 0.750

Properties
Electronic total energy   -0.2002 Ry/atom
Space-group type   P6_3/mmc
Total magnetization   0.000 μB per atom



19.
An optimized crystal structure of HoCdIr, computed with PBE-GGA.

a = 4.606 Å, b = 4.606 Å, c = 4.606 Å
α = 60.00°, β = 60.00°, γ = 60.00°
Fractional positions:
Cd1 0.000 0.000 0.000
Ho1 0.250 0.250 0.250
Ir1 0.750 0.750 0.750

Properties
Formation energy   58 meV/atom
Space-group type   F-43m
Total magnetization   0.000 μB per atom



20.
An optimized crystal structure of MgNbOs2, computed with PBE-GGA.

a = 4.460 Å, b = 4.460 Å, c = 7.929 Å
α = 90.00°, β = 90.00°, γ = 120.00°
Fractional positions:
Mg1 0.333 0.667 0.250
Mg2 0.667 0.333 0.750
Nb1 0.000 0.000 0.000
Nb2 0.000 0.000 0.500
Os1 0.667 0.333 0.097
Os2 0.667 0.333 0.403
Os3 0.333 0.667 0.597
Os4 0.333 0.667 0.903

Properties
Electronic total energy   -0.6193 Ry/atom
Space-group type   P6_3/mmc
Total magnetization   0.000 μB per atom